K3MoAs2O8: relaxed, PBE+U.

Structure (POSCAR):
```
K3MoAs2O8
1.0
5.792 0.000 0.000
-2.896 5.016 0.000
0.000 0.000 7.733
K Mo As O
3 1 2 8
direct
0.000 0.000 0.000
0.333 0.667 0.707
0.667 0.333 0.293
0.000 0.000 0.500
0.333 0.667 0.253
0.667 0.333 0.747
0.171 0.342 0.329
0.171 0.829 0.329
0.333 0.667 0.037
0.342 0.171 0.671
0.658 0.829 0.329
0.667 0.333 0.963
0.829 0.171 0.671
0.829 0.658 0.671
```

Results
The density is 3.6 g cm⁻³. Its total energy is -81.8 eV for the cell shown. The value obtained for the total magnetization is 0.2143 μB per atom.